# AcCeSm2Se4

AcCeSm2Se4 after structural relaxation (PBE-GGA, Alexandria via LeMat-Bulk).

abc: 7.3880 4.2260 7.4079
angles: 90.00 109.08 90.00
With the nearest neighbours (Å) after each atom.
Fractional coordinates of all 8 atoms:
Ac (0.0000, 0.0000, 0.0000)  6 Se 3.09
Ce (0.5000, 0.5000, 0.0000)  6 Se 3.03
Sm (0.0000, 0.5000, 0.5000)  6 Se 3.00
Sm (0.5000, 0.0000, 0.5000)  6 Se 2.93-2.94
Se (0.2539, 0.0000, 0.7412)  3 Sm 2.94-3.00, 2 Ce 3.03, 1 Ac 3.09
Se (0.2619, 0.5000, 0.2645)  3 Sm 2.93-3.00, 1 Ce 3.03, 2 Ac 3.09
Se (0.7381, 0.5000, 0.7355)  3 Sm 2.93-3.00, 1 Ce 3.03, 2 Ac 3.09
Se (0.7461, 0.0000, 0.2588)  3 Sm 2.94-3.00, 2 Ce 3.03, 1 Ac 3.09

Output
Its uncorrected formation energy is -41.95 kcal/mol of atoms. The density is 7.5 g/cm3. For the magnetic moment, the calculation gives 0.139 μB per atom.



# TlTc2BrO

TlTc2BrO after structural relaxation (PBE-GGA, Alexandria via LeMat-Bulk).

abc: 4.1165 4.1165 6.3395
angles: 90.00 90.00 90.00
With the nearest neighbours (Å) after each atom.
Fractional coordinates of all 5 atoms:
Tl (0.0000, 0.0000, 0.0000)  4 Br 2.91
Tc (0.0000, 0.5000, 0.5000)  2 O 2.06
Tc (0.5000, 0.0000, 0.5000)  2 O 2.06
Br (0.5000, 0.5000, 0.0000)  4 Tl 2.91, 2 O 3.17
O (0.5000, 0.5000, 0.5000)  4 Tc 2.06

Output
Its uncorrected formation energy is 9.11 kcal/mol of atoms. The density is 7.7 g/cm3. For the magnetic moment, the calculation gives 0.918 μB per atom.